Entry 1:
Here is a relaxed structure of La5TbPmTm2 from Alexandria via LeMat-Bulk. Energies are from PBE-GGA.

Calculated values
The magnetization is 0.00 Bohr magnetons per cell. The calculation puts the formation energy at 12.4 kJ per mole of atoms. The value obtained for the total energy is -4.645 eV per atom. As for the calculated volume: 637 Å³/cell.

Cell lengths 11.2024, 11.2024, 10.6819 Å; angles 90.00, 90.00, 151.61 degrees
Closest atoms and distances in Å follow each position.
Sites, in units of the cell vectors:
1 La 0.0000 0.0000 0.0000  2 Tb 3.44, 4 Tm 3.68, 6 La 3.77-3.83
2 La 0.0000 0.0000 0.5000  2 Tb 3.44, 4 Tm 3.68, 6 La 3.77-3.83
3 La 0.1227 0.8773 0.7500  1 Pm 3.53, 6 La 3.77-3.93, 4 Tm 3.86
4 La 0.2202 0.7798 0.0602  2 La 3.30, 1 Tb 3.31, 3 Pm 3.42-3.60, 3 Tm 3.65-3.69
5 La 0.2202 0.7798 0.4398  2 La 3.30, 1 Tb 3.31, 3 Pm 3.42-3.60, 3 Tm 3.65-3.69
6 La 0.4998 0.5002 0.2500  2 Tb 3.50, 4 Tm 3.61-3.64, 6 La 3.82-3.83
7 La 0.5002 0.4998 0.7500  2 Tb 3.50, 4 Tm 3.61-3.64, 6 La 3.82-3.83
8 La 0.7798 0.2202 0.5602  2 La 3.30, 1 Tb 3.31, 3 Pm 3.42-3.60, 3 Tm 3.65-3.69
9 La 0.7798 0.2202 0.9398  2 La 3.30, 1 Tb 3.31, 3 Pm 3.42-3.60, 3 Tm 3.65-3.69
10 La 0.8773 0.1227 0.2500  1 Pm 3.53, 6 La 3.77-3.93, 4 Tm 3.86
11 Tb 0.0998 0.9002 0.2500  6 La 3.31-3.50
12 Tb 0.9002 0.0998 0.7500  6 La 3.31-3.50
13 Pm 0.2853 0.7147 0.7500  7 La 3.42-3.60, 2 Tm 3.44, 2 Tb 3.71
14 Pm 0.7147 0.2853 0.2500  7 La 3.42-3.60, 2 Tm 3.44, 2 Tb 3.71
15 Tm 0.3871 0.6129 0.5029  1 Pm 3.44, 7 La 3.61-3.69, 2 Tb 3.82
16 Tm 0.3871 0.6129 0.9971  1 Pm 3.44, 7 La 3.61-3.69, 2 Tb 3.82
17 Tm 0.6129 0.3871 0.0029  1 Pm 3.44, 7 La 3.61-3.69, 2 Tb 3.82
18 Tm 0.6129 0.3871 0.4971  1 Pm 3.44, 7 La 3.61-3.69, 2 Tb 3.82

=====

Entry 2:
Here is a relaxed structure of LaTb2Pm5Tm from Alexandria via LeMat-Bulk. Energies are from PBE-GGA.

Calculated values
The magnetization is 0.00 Bohr magnetons per cell. The calculation puts the formation energy at 14.4 kJ per mole of atoms. The value obtained for the total energy is -4.563 eV per atom. As for the calculated volume: 615 Å³/cell.

Cell lengths 10.4834, 10.4834, 10.6742 Å; angles 90.00, 90.00, 148.36 degrees
Closest atoms and distances in Å follow each position.
Sites, in units of the cell vectors:
1 La 0.0845 0.9155 0.5000  5 Pm 3.08-3.34
2 La 0.9155 0.0845 0.0000  5 Pm 3.08-3.34
3 Tb 0.3848 0.6152 0.3636  9 Pm 3.33-3.72, 1 Tm 3.69
4 Tb 0.3862 0.6138 0.7785  1 Tm 3.44, 7 Pm 3.47-3.70, 2 La 3.76
5 Tb 0.6138 0.3862 0.2785  1 Tm 3.44, 7 Pm 3.47-3.70, 2 La 3.76
6 Tb 0.6152 0.3848 0.8636  9 Pm 3.33-3.72, 1 Tm 3.69
7 Pm 0.0186 0.9814 0.7867  2 La 3.08-3.34
8 Pm 0.1163 0.8837 0.0675  6 Pm 3.59-3.93, 4 Tb 3.59-3.64, 1 Tm 3.71
9 Pm 0.2034 0.7966 0.7527  4 Pm 3.45-3.79, 3 Tm 3.54-3.79, 3 Tb 3.57-3.70, 1 La 3.61
10 Pm 0.2196 0.7804 0.3607  1 La 3.11, 1 Tb 3.33, 2 Pm 3.45
11 Pm 0.4828 0.5172 0.0683  2 La 3.25, 2 Tb 3.45-3.47
12 Pm 0.5172 0.4828 0.5683  2 La 3.25, 2 Tb 3.45-3.47
13 Pm 0.7804 0.2196 0.8607  1 La 3.11, 1 Tb 3.33, 2 Pm 3.45
14 Pm 0.7966 0.2034 0.2527  4 Pm 3.45-3.79, 3 Tm 3.54-3.79, 3 Tb 3.57-3.70, 1 La 3.61
15 Pm 0.8837 0.1163 0.5675  6 Pm 3.59-3.93, 4 Tb 3.59-3.64, 1 Tm 3.71
16 Pm 0.9814 0.0186 0.2867  2 La 3.08-3.34
17 Tm 0.3002 0.6998 0.0567  2 Tb 3.44-3.69, 8 Pm 3.54-3.79, 2 La 3.73
18 Tm 0.6998 0.3002 0.5567  2 Tb 3.44-3.69, 8 Pm 3.54-3.79, 2 La 3.73

=====

Entry 3:
Here is a relaxed structure of La3TbPm6Tm2 from Alexandria via LeMat-Bulk. Energies are from PBE-GGA.

Calculated values
The magnetization is 0.00 Bohr magnetons per cell. The calculation puts the formation energy at 2.2 kJ per mole of atoms. The value obtained for the total energy is -4.716 eV per atom. As for the calculated volume: 410 Å³/cell.

Cell lengths 6.3132, 6.3132, 12.0630 Å; angles 95.02, 95.02, 120.05 degrees
Closest atoms and distances in Å follow each position.
Sites, in units of the cell vectors:
1 La 0.0000 0.0000 0.0000  6 La 3.64-3.65, 6 Pm 3.70-3.71
2 La 0.3329 0.6671 0.0000  6 La 3.64-3.65, 6 Pm 3.70-3.71
3 La 0.6671 0.3329 0.0000  6 La 3.64-3.65, 6 Pm 3.70-3.71
4 Tb 0.5000 0.5000 0.5000  6 Pm 3.57-3.58, 6 Tm 3.64-3.65
5 Pm 0.0850 0.4190 0.2569  2 Tm 3.57, 1 Tb 3.57, 6 Pm 3.64-3.65, 3 La 3.70-3.71
6 Pm 0.2470 0.2470 0.7431  2 Tm 3.57, 1 Tb 3.58, 6 Pm 3.64-3.65, 3 La 3.70-3.71
7 Pm 0.4190 0.0850 0.2569  2 Tm 3.57, 1 Tb 3.57, 6 Pm 3.64-3.65, 3 La 3.70-3.71
8 Pm 0.5810 0.9150 0.7431  2 Tm 3.57, 1 Tb 3.57, 6 Pm 3.64-3.65, 3 La 3.70-3.71
9 Pm 0.7530 0.7530 0.2569  2 Tm 3.57, 1 Tb 3.58, 6 Pm 3.64-3.65, 3 La 3.70-3.71
10 Pm 0.9150 0.5810 0.7431  2 Tm 3.57, 1 Tb 3.57, 6 Pm 3.64-3.65, 3 La 3.70-3.71
11 Tm 0.1667 0.8333 0.5000  6 Pm 3.57, 3 Tm 3.64-3.65, 3 Tb 3.64-3.65
12 Tm 0.8333 0.1667 0.5000  6 Pm 3.57, 3 Tm 3.64-3.65, 3 Tb 3.64-3.65

=====

Entry 4:
Here is a relaxed structure of La4Tb2PmTm from Alexandria via LeMat-Bulk. Energies are from PBE-GGA.

Calculated values
The magnetization is 0.00 Bohr magnetons per cell. The calculation puts the formation energy at 8.1 kJ per mole of atoms. The value obtained for the total energy is -4.691 eV per atom. As for the calculated volume: 278 Å³/cell.

Cell lengths 5.9976, 5.9885, 7.7272 Å; angles 90.00, 90.02, 90.00 degrees
Closest atoms and distances in Å follow each position.
Sites, in units of the cell vectors:
1 La 0.0008 0.0000 0.2580  4 Tb 3.53-3.60, 2 Tm 3.53, 2 Pm 3.60, 1 La 3.74
2 La 0.4983 0.5000 0.2577  2 Tm 3.53-3.54, 4 Tb 3.53-3.61, 2 Pm 3.60, 1 La 3.74
3 La 0.5017 0.5000 0.7423  2 Tm 3.53-3.54, 4 Tb 3.53-3.61, 2 Pm 3.60, 1 La 3.74
4 La 0.9992 0.0000 0.7420  4 Tb 3.53-3.60, 2 Tm 3.53, 2 Pm 3.60, 1 La 3.74
5 Tb 0.0000 0.5000 0.0000  8 La 3.59-3.61, 2 Tm 3.86
6 Tb 0.5000 0.0000 0.5000  8 La 3.53-3.54, 2 Pm 3.86
7 Pm 0.5000 0.0000 0.0000  8 La 3.60, 2 Tb 3.86
8 Tm 0.0000 0.5000 0.5000  8 La 3.53-3.54, 2 Tb 3.86

=====

Entry 5:
Here is a relaxed structure of La3Tb2PmTm6 from Alexandria via LeMat-Bulk. Energies are from PBE-GGA.

Calculated values
The magnetization is 0.00 Bohr magnetons per cell. The calculation puts the formation energy at 2.1 kJ per mole of atoms. The value obtained for the total energy is -4.613 eV per atom. As for the calculated volume: 386 Å³/cell.

Cell lengths 6.2132, 6.2132, 11.7380 Å; angles 95.05, 95.05, 119.98 degrees
Closest atoms and distances in Å follow each position.
Sites, in units of the cell vectors:
1 La 0.0000 0.0000 0.0000  6 La 3.59, 6 Tm 3.59-3.60
2 La 0.3334 0.6666 0.0000  6 La 3.59, 6 Tm 3.60
3 La 0.6666 0.3334 0.0000  6 La 3.59, 6 Tm 3.60
4 Tb 0.1668 0.8332 0.5000  6 Tm 3.51, 3 Pm 3.59, 3 Tb 3.59
5 Tb 0.8332 0.1668 0.5000  6 Tm 3.51, 3 Pm 3.59, 3 Tb 3.59
6 Pm 0.5000 0.5000 0.5000  6 Tm 3.51, 6 Tb 3.59
7 Tm 0.0846 0.4182 0.2544  2 Tb 3.51, 1 Pm 3.51, 6 Tm 3.59, 3 La 3.60
8 Tm 0.2482 0.2482 0.7456  2 Tb 3.51, 1 Pm 3.51, 6 Tm 3.59, 3 La 3.59-3.60
9 Tm 0.4182 0.0846 0.2544  2 Tb 3.51, 1 Pm 3.51, 6 Tm 3.59, 3 La 3.60
10 Tm 0.5818 0.9154 0.7456  2 Tb 3.51, 1 Pm 3.51, 6 Tm 3.59, 3 La 3.60
11 Tm 0.7518 0.7518 0.2544  2 Tb 3.51, 1 Pm 3.51, 6 Tm 3.59, 3 La 3.59-3.60
12 Tm 0.9154 0.5818 0.7456  2 Tb 3.51, 1 Pm 3.51, 6 Tm 3.59, 3 La 3.60

=====

Entry 6:
Here is a relaxed structure of LaTb2Pm4Tm2 from Alexandria via LeMat-Bulk. Energies are from PBE-GGA.

Calculated values
The magnetization is 0.00 Bohr magnetons per cell. The calculation puts the formation energy at 2.2 kJ per mole of atoms. The value obtained for the total energy is -4.658 eV per atom. As for the calculated volume: 298 Å³/cell.

Cell lengths 8.0668, 8.0668, 8.0622 Å; angles 107.32, 107.32, 36.80 degrees
Closest atoms and distances in Å follow each position.
Sites, in units of the cell vectors:
1 La 0.0000 0.0000 0.0000  6 Pm 3.61, 2 Tb 3.61, 4 Tm 3.63
2 Tb 0.1115 0.1115 0.6663  7 Pm 3.59-3.62, 3 Tm 3.59-3.60, 1 La 3.61, 1 Tb 3.62
3 Tb 0.8885 0.8885 0.3337  7 Pm 3.59-3.62, 3 Tm 3.59-3.60, 1 La 3.61, 1 Tb 3.62
4 Pm 0.2228 0.2228 0.3308  3 Tm 3.54-3.60, 3 Tb 3.59-3.62, 1 La 3.61, 5 Pm 3.62-3.63
5 Pm 0.4448 0.4448 0.6666  4 Pm 3.59-3.62, 4 Tb 3.60-3.61, 2 La 3.61, 2 Tm 3.63-3.64
6 Pm 0.5552 0.5552 0.3334  4 Pm 3.59-3.62, 4 Tb 3.60-3.61, 2 La 3.61, 2 Tm 3.63-3.64
7 Pm 0.7772 0.7772 0.6692  3 Tm 3.54-3.60, 3 Tb 3.59-3.62, 1 La 3.61, 5 Pm 3.62-3.63
8 Tm 0.3309 0.3309 0.0014  5 Pm 3.54-3.64, 2 Tm 3.55, 3 Tb 3.59-3.60, 2 La 3.63
9 Tm 0.6691 0.6691 0.9986  5 Pm 3.54-3.64, 2 Tm 3.55, 3 Tb 3.59-3.60, 2 La 3.63

=====

Entry 7:
Here is a relaxed structure of LaTbPmTm from Alexandria via LeMat-Bulk. Energies are from PBE-GGA.

Calculated values
The magnetization is 0.00 Bohr magnetons per cell. The calculation puts the formation energy at 9.8 kJ per mole of atoms. The value obtained for the total energy is -4.594 eV per atom. As for the calculated volume: 135 Å³/cell.

Cell lengths 5.7559, 5.7559, 5.7559 Å; angles 60.00, 60.00, 60.00 degrees
Closest atoms and distances in Å follow each position.
Sites, in units of the cell vectors:
1 La 0.0000 0.0000 0.0000  4 Tm 3.52, 4 Tb 3.52
2 Tb 0.2500 0.2500 0.2500  4 La 3.52, 4 Pm 3.52
3 Pm 0.5000 0.5000 0.5000  4 Tm 3.52, 4 Tb 3.52
4 Tm 0.7500 0.7500 0.7500  4 La 3.52, 4 Pm 3.52

=====

Entry 8:
Here is a relaxed structure of La2TbPmTm from Alexandria via LeMat-Bulk. Energies are from PBE-GGA.

Calculated values
The magnetization is 0.00 Bohr magnetons per cell. The calculation puts the formation energy at 39.1 kJ per mole of atoms. The value obtained for the total energy is -4.336 eV per atom. As for the calculated volume: 366 Å³/cell.

Cell lengths 7.2291, 7.2291, 7.3716 Å; angles 90.00, 90.00, 107.99 degrees
Closest atoms and distances in Å follow each position.
Sites, in units of the cell vectors:
1 La 0.1937 0.1937 0.0000  2 Tb 3.19, 1 La 3.29
2 La 0.1937 0.1937 0.5000  2 Tb 3.19, 1 La 3.29
3 La 0.8063 0.8063 0.0000  2 Tb 3.19, 1 La 3.29
4 La 0.8063 0.8063 0.5000  2 Tb 3.19, 1 La 3.29
5 Tb 0.4883 0.5117 0.7500  1 Pm 3.08, 4 La 3.19, 1 Tm 3.21
6 Tb 0.5117 0.4883 0.2500  1 Pm 3.08, 4 La 3.19, 1 Tm 3.21
7 Pm 0.2246 0.7754 0.7500  1 Tb 3.08
8 Pm 0.7754 0.2246 0.2500  1 Tb 3.08
9 Tm 0.2374 0.7626 0.2500  1 Tb 3.21
10 Tm 0.7626 0.2374 0.7500  1 Tb 3.21

=====

Entry 9:
Here is a relaxed structure of LaTb2Pm6Tm3 from Alexandria via LeMat-Bulk. Energies are from PBE-GGA.

Calculated values
The magnetization is 0.00 Bohr magnetons per cell. The calculation puts the formation energy at 1.9 kJ per mole of atoms. The value obtained for the total energy is -4.656 eV per atom. As for the calculated volume: 397 Å³/cell.

Cell lengths 6.2547, 6.2547, 11.8901 Å; angles 95.02, 95.02, 120.00 degrees
Closest atoms and distances in Å follow each position.
Sites, in units of the cell vectors:
1 La 0.0000 0.0000 0.0000  6 Tb 3.61, 6 Pm 3.64
2 Tb 0.3335 0.6665 0.0000  3 Tb 3.61, 3 La 3.61, 6 Pm 3.63-3.64
3 Tb 0.6665 0.3335 0.0000  3 Tb 3.61, 3 La 3.61, 6 Pm 3.63-3.64
4 Pm 0.0851 0.4194 0.2542  3 Tm 3.55-3.56, 6 Pm 3.61-3.62, 2 Tb 3.63, 1 La 3.64
5 Pm 0.2491 0.2491 0.7454  3 Tm 3.55, 6 Pm 3.61-3.62, 2 Tb 3.64, 1 La 3.64
6 Pm 0.4194 0.0851 0.2542  3 Tm 3.55-3.56, 6 Pm 3.61-3.62, 2 Tb 3.63, 1 La 3.64
7 Pm 0.5806 0.9149 0.7458  3 Tm 3.55-3.56, 6 Pm 3.61-3.62, 2 Tb 3.63, 1 La 3.64
8 Pm 0.7509 0.7509 0.2546  3 Tm 3.55, 6 Pm 3.61-3.62, 2 Tb 3.64, 1 La 3.64
9 Pm 0.9149 0.5806 0.7458  3 Tm 3.55-3.56, 6 Pm 3.61-3.62, 2 Tb 3.63, 1 La 3.64
10 Tm 0.1671 0.8329 0.5000  6 Pm 3.55-3.56, 6 Tm 3.61-3.62
11 Tm 0.5000 0.5000 0.5000  6 Pm 3.55, 6 Tm 3.61
12 Tm 0.8329 0.1671 0.5000  6 Pm 3.55-3.56, 6 Tm 3.61-3.62